ScAlRh2 after structural relaxation. Source: Alexandria, functional GGA-PBE.

Cell and atoms, written as POSCAR:
```
ScAlRh2
1.0
3.1119 0.0000 0.0000
0.0000 3.1408 0.0000
-0.0099 0.0000 6.2020
Sc Al Rh
1 1 2
Direct
0.0000 0.0000 0.0000
0.0000 0.0000 0.5000
0.4994 0.5000 0.7333
0.5006 0.5000 0.2667
```

Properties
Energy relative to the elements in eV per atom: -1.0519
Crystal system: monoclinic
Symmetry: P2/m, No. 10